The following is a DFT calculation (PBE) of an optimized crystal structure of AsSe3I.

Final energy in eV/cell: -32.71
E_form (uncorrected) in eV/atom: 0.059
Total magnetization in μB/f.u.: 0.000
Energy above the lowest structure with this stoichiometry in meV/atom: 0

Cell: 8.378 7.954 5.456 Å, 90.02 96.05 90.40°
Element x y z (fractional)
As1 0.095 0.688 0.679
As2 0.595 0.665 0.179
Se1 0.406 0.434 0.229
Se2 0.410 0.868 0.966
Se3 0.908 0.484 0.465
Se4 0.909 0.919 0.730
Se5 0.995 0.452 0.903
Se6 0.498 0.900 0.404
I1 0.468 0.367 0.725
I2 0.972 0.985 0.227



The following is a DFT calculation (PBE) of an optimized crystal structure of AsSe3I.

Final energy in eV/cell: -10.96
E_form (uncorrected) in eV/atom: 1.138
Total magnetization in μB/f.u.: 0.917
Energy above the lowest structure with this stoichiometry in meV/atom: 1079

Cell: 5.389 5.389 5.389 Å, 90.00 90.00 90.00°
Last column: magnetic moment on the atom in μB.
Element x y z (fractional)
I1 0.000 0.000 0.000  -0.01
As1 0.500 0.500 0.500  0.60
Se1 0.000 0.500 0.000  -0.06
Se2 0.000 0.000 0.500  -0.08
Se3 0.500 0.000 0.000  -0.09



The following is a DFT calculation (PBE) of an optimized crystal structure of AsSeI.

Final energy in eV/cell: -37.72
E_form (uncorrected) in eV/atom: 0.085
Total magnetization in μB/f.u.: 0.000

Cell: 4.181 8.909 14.661 Å, 92.41 90.00 90.00°
Element x y z (fractional)
I1 0.502 0.720 0.934
I2 0.002 0.280 0.566
I3 0.498 0.280 0.066
I4 0.998 0.720 0.434
As1 0.004 0.663 0.070
As2 0.504 0.337 0.430
As3 0.996 0.337 0.930
As4 0.496 0.663 0.570
Se1 0.006 0.840 0.176
Se2 0.506 0.160 0.324
Se3 0.994 0.160 0.824
Se4 0.494 0.840 0.676